[1]
A geometry-optimized TbNd3Hg structure, computed with PBE.

abc: 11.542 7.639 8.117
angles: 90.00 111.46 90.00
Space group C2/m (No. 12)
One atom of each set of equivalent atoms:
Tb  0.060  0.000  0.242
Nd  0.054  0.500  0.236
Nd  0.163  0.248  0.646
Hg  0.238  0.000  0.001

energy above the lowest structure with this stoichiometry: 85.1 meV per atom
DOS(E_F): 20.84 states/eV per cell
total moment: 0.0 μB per cell


[2]
A geometry-optimized BaSrCdHg2 structure, computed with PBE.

abc: 4.7758 4.7758 9.5930
angles: 90.00 90.00 120.00
Space group P3m1 (No. 156)
One atom of each set of equivalent atoms:
Ba  0.0000  0.0000  0.0000
Sr  0.6667  0.3333  0.4271
Cd  0.3333  0.6667  0.6584
Hg  0.3333  0.6667  0.2307
Hg  0.6667  0.3333  0.7780

VASP energy: -1.36 eV/atom
DOS(E_F): 4.52 states/eV per cell
total moment: 0.0 μB per cell


[3]
A geometry-optimized Ho2CuPd2 structure, computed with PBE.

abc: 10.225 3.836 11.069
angles: 90.00 111.72 90.00
Space group C2/m (No. 12)
One atom of each set of equivalent atoms:
Ho  0.004  0.000  0.161
Ho  0.181  0.000  0.609
Cu  0.199  0.500  0.817
Pd  0.040  0.500  0.388
Pd  0.154  0.500  0.045

VASP energy: -5.45 eV/atom
DOS(E_F): 10.28 states/eV per cell
total moment: 0.0 μB per cell


[4]
A geometry-optimized Zr2Zn15Cu2 structure, computed with PBE.

abc: 8.7452 8.7452 12.9446
angles: 90.00 90.00 120.00
Space group R-3m (No. 166, hexagonal axes)
One atom of each set of equivalent atoms:
Zr  0.0000  0.0000  0.1671
Zn  0.0000  0.2950  0.5000
Zn  0.0000  0.5000  0.0000
Zn  0.0088  0.5044  0.6490
Cu  0.0000  0.0000  0.3979

VASP energy: -2.47 eV/atom
DOS(E_F): 15.43 states/eV per cell
total moment: 0.0 μB per cell


[5]
A geometry-optimized Al2Cu3Ni3 structure, computed with PBE.

abc: 6.4985 6.4985 2.7090
angles: 90.00 90.00 120.00
Space group P-62m (No. 189)
One atom of each set of equivalent atoms:
Al  0.3333  0.6667  0.0000
Cu  0.0000  0.3700  0.5000
Ni  0.0000  0.7585  0.0000

energy above the lowest structure with this stoichiometry: 260.6 meV per atom
DOS(E_F): 4.53 states/eV per cell
total moment: 0.0 μB per cell


[6]
A geometry-optimized DyNi3B3 structure, computed with PBE.

abc: 7.363 3.154 7.637
angles: 90.00 96.09 90.00
Space group P2_1/m (No. 11)
One atom of each set of equivalent atoms:
Dy  0.228  0.250  0.272
Ni  0.105  0.250  0.692
Ni  0.195  0.750  0.932
Ni  0.341  0.750  0.626
B  0.027  0.250  0.940
B  0.065  0.750  0.526
B  0.486  0.250  0.553

energy above the lowest structure with this stoichiometry: 0.0 meV per atom
DOS(E_F): 6.38 states/eV per cell
total moment: 0.0 μB per cell